Record 1
VASP calculation (GGA-PBE) on a geometry-optimized ThPa2Rh9 structure.

Structure (extended XYZ):
```
12
Lattice="-0.181 -3.059 2.696 3.116 -1.844 -1.883 7.902 5.935 7.266" Properties=species:S:1:pos:R:3 pbc="T T T"
Th 0.000 0.000 0.000
Pa 2.642 1.985 2.430
Pa 5.259 3.950 4.836
Rh 1.468 -2.452 0.406
Rh 4.129 -0.452 2.854
Rh 6.708 1.484 5.225
Rh 1.292 -0.491 2.619
Rh 3.860 1.438 4.981
Rh 6.429 3.367 7.343
Rh 2.940 0.116 0.329
Rh 5.509 2.045 2.691
Rh 8.078 3.975 5.053
```

Output
Space-group type = P4/mmm
Total magnetization = 0.0 μB per formula unit
Energy of formation = -0.84 eV/atom



Record 2
VASP calculation (GGA-PBE) on a geometry-optimized Ta2TlRh structure.

Structure (extended XYZ):
```
4
Lattice="-1.346 1.542 4.169 2.143 -1.536 1.260 3.727 3.884 -0.233" Properties=species:S:1:pos:R:3 pbc="T T T"
Ta 3.659 3.740 -0.202
Ta 0.751 1.428 2.301
Tl 3.164 0.905 0.687
Rh 3.612 2.874 2.690
```

Output
Space-group type = Pm
Total magnetization = 0.0 μB per formula unit
Polymorph energy (0 for the lowest one) = 110 meV/atom
Energy of formation = 0.18 eV/atom



Record 3
VASP calculation (GGA-PBE) on a geometry-optimized Tb2TmCu4 structure.

Structure (extended XYZ):
```
7
Lattice="4.841 0.000 -1.543 -0.492 4.816 -1.543 -0.521 -0.577 6.729" Properties=species:S:1:pos:R:3 pbc="T T T"
Tm 0.000 0.000 0.000
Tb 2.872 3.180 0.645
Tb 0.956 1.058 2.998
Cu 1.030 3.821 3.232
Cu 3.697 1.413 3.232
Cu 2.797 0.417 0.411
Cu 0.131 2.825 0.411
```

Output
Space-group type = I4/mmm
Total magnetization = 0.0 μB per formula unit
Energy of formation = -0.03 eV/atom



Record 4
VASP calculation (GGA-PBE) on a geometry-optimized AcTlBi structure.

Structure (extended XYZ):
```
3
Lattice="-2.296 -3.673 -3.548 3.211 -3.819 -2.542 -0.404 -5.398 1.432" Properties=species:S:1:pos:R:3 pbc="T T T"
Ac 0.128 -3.222 -1.164
Bi 0.255 -6.445 -2.329
Tl 0.000 0.000 0.000
```

Output
Space-group type = F-43m
Total magnetization = 0.0 μB per formula unit
Polymorph energy (0 for the lowest one) = 205 meV/atom
Energy of formation = -0.24 eV/atom



Record 5
VASP calculation (GGA-PBE) on a geometry-optimized Ba2NaTl6Rh structure.

Structure (extended XYZ):
```
10
Lattice="7.829 0.000 0.000 0.000 7.829 0.000 3.915 3.914 5.536" Properties=species:S:1:pos:R:3 pbc="T T T"
Ba 3.915 7.829 2.768
Ba 7.829 3.914 2.768
Na 3.915 3.914 0.000
Tl 1.905 5.924 0.000
Tl 5.924 5.924 0.000
Tl 3.915 3.914 2.842
Tl 5.924 1.905 0.000
Tl 1.905 1.905 0.000
Tl 7.830 7.829 2.694
Rh 0.000 0.000 0.000
```

Output
Space-group type = Fm-3m
Total magnetization = 0.0 μB per formula unit
Energy of formation = -0.07 eV/atom



Record 6
VASP calculation (GGA-PBE) on a geometry-optimized KTeBr2 structure.

Structure (extended XYZ):
```
4
Lattice="5.796 0.000 0.000 2.898 5.020 0.000 2.898 1.673 4.733" Properties=species:S:1:pos:R:3 pbc="T T T"
Br 0.000 0.000 0.000
Br 2.898 1.673 1.183
K 5.796 3.347 2.366
Te 8.695 5.020 3.550
```

Output
Space-group type = F-43m
Total magnetization = 3.0 μB per formula unit
Polymorph energy (0 for the lowest one) = 534 meV/atom



Record 7
VASP calculation (GGA-PBE) on a geometry-optimized SrMoP structure.

Structure (extended XYZ):
```
3
Lattice="-1.668 1.668 5.681 1.668 -1.668 5.681 1.668 1.668 -5.681" Properties=species:S:1:pos:R:3 pbc="T T T"
Sr 0.000 0.000 7.569
Mo 0.000 0.000 10.816
P 0.000 0.000 4.340
```

Output
Space-group type = I4mm
Total magnetization = 0.0 μB per formula unit
Polymorph energy (0 for the lowest one) = 434 meV/atom
Energy of formation = -0.18 eV/atom



Record 8
VASP calculation (GGA-PBE) on a geometry-optimized ZrMo4Se8 structure.

Structure (extended XYZ):
```
13
Lattice="-5.306 -0.655 -5.093 2.472 -5.862 3.091 -1.438 3.015 6.871" Properties=species:S:1:pos:R:3 pbc="T T T"
Zr 0.517 -1.423 4.981
Mo 0.000 0.000 0.000
Mo -0.202 0.084 8.417
Mo -1.417 -3.258 -1.001
Mo -2.653 -0.327 -2.546
Se -1.163 -3.977 1.478
Se -3.110 0.476 3.391
Se -2.345 -1.007 -0.035
Se -5.757 0.214 0.810
Se -1.928 -2.495 4.904
Se -4.474 -2.829 2.414
Se 0.202 -0.672 2.455
Se 1.485 -3.716 4.059
```

Output
Space-group type = C2/m
Total magnetization = 2.3 μB per formula unit
Total energy = -6.52 eV/atom



Record 9
VASP calculation (GGA-PBE) on a geometry-optimized Ca2AlHg structure.

Structure (extended XYZ):
```
4
Lattice="9.821 0.019 0.011 9.091 3.715 0.011 9.091 1.795 3.252" Properties=species:S:1:pos:R:3 pbc="T T T"
Ca 28.001 5.528 3.275
Ca 14.004 2.765 1.638
Hg 7.001 1.382 0.819
Al 21.002 4.146 2.456
```

Output
Space-group type = R-3m
Total magnetization = 0.0 μB per formula unit
Polymorph energy (0 for the lowest one) = 215 meV/atom
Energy of formation = -0.15 eV/atom



Record 10
VASP calculation (GGA-PBE) on a geometry-optimized PrNd5Ho3 structure.

Structure (extended XYZ):
```
18
Lattice="9.535 -0.157 1.561 2.459 9.213 1.561 5.784 4.367 9.333" Properties=species:S:1:pos:R:3 pbc="T T T"
Pr 5.349 4.039 5.973
Pr 12.428 9.384 6.483
Nd 10.473 4.210 4.291
Nd 4.261 6.827 1.561
Nd 15.377 11.611 11.419
Nd 7.302 5.514 3.730
Nd 10.475 7.910 8.726
Nd 2.401 1.813 1.037
Nd 6.916 8.920 4.291
Nd 7.733 2.229 1.561
Nd 7.305 9.214 8.165
Nd 10.861 4.504 8.165
Ho 12.945 9.775 9.822
Ho 9.971 7.529 5.346
Ho 0.000 0.000 0.000
Ho 2.892 2.184 4.667
Ho 4.832 3.649 2.634
Ho 7.807 5.895 7.110
```

Output
Space-group type = C2/m
Total magnetization = 0.0 μB per formula unit
Polymorph energy (0 for the lowest one) = 176 meV/atom
Energy of formation = 0.46 eV/atom



Record 11
VASP calculation (GGA-PBE) on a geometry-optimized TlCuRe structure.

Structure (extended XYZ):
```
3
Lattice="5.453 0.041 -0.017 3.465 4.211 0.017 -4.210 -2.647 2.236" Properties=species:S:1:pos:R:3 pbc="T T T"
Cu 8.737 4.165 0.000
Re 3.192 1.522 0.000
Tl 5.906 2.816 0.000
```

Output
Space-group type = Imm2
Total magnetization = 0.0 μB per formula unit
Polymorph energy (0 for the lowest one) = 96 meV/atom
Energy of formation = 0.88 eV/atom



Record 12
VASP calculation (GGA-PBE) on a geometry-optimized P2BrClF structure.

Structure (extended XYZ):
```
5
Lattice="-0.066 1.680 -3.850 1.095 -3.710 -1.638 -6.271 -1.592 -0.587" Properties=species:S:1:pos:R:3 pbc="T T T"
P 0.547 -1.855 -0.819
P -0.033 0.840 -1.925
F 0.000 0.000 0.000
Br -2.621 -1.811 -3.037
Cl -3.136 -0.796 -0.294
```

Output
Space-group type = P4/mmm
Total magnetization = 2.1 μB per formula unit
Polymorph energy (0 for the lowest one) = 0 meV/atom



Record 13
VASP calculation (GGA-PBE) on a geometry-optimized TaHg2Pd2 structure.

Structure (extended XYZ):
```
5
Lattice="-3.757 0.048 -0.132 -0.141 -1.501 3.444 -1.965 5.698 4.455" Properties=species:S:1:pos:R:3 pbc="T T T"
Hg -3.836 2.510 2.989
Hg -2.027 1.735 4.778
Pd -1.952 0.438 2.163
Pd -3.911 3.806 5.603
Ta 0.000 0.000 0.000
```

Output
Space-group type = I4/mmm
Total magnetization = 0.0 μB per formula unit
Polymorph energy (0 for the lowest one) = 217 meV/atom
Energy of formation = 0.40 eV/atom



Record 14
VASP calculation (GGA-PBE) on a geometry-optimized MnP2Br structure.

Structure (extended XYZ):
```
4
Lattice="6.623 1.793 0.000 3.653 5.809 0.000 -5.138 -3.801 2.497" Properties=species:S:1:pos:R:3 pbc="T T T"
Br 1.826 2.904 1.249
Mn 3.312 0.896 1.249
P 0.000 0.000 0.000
P 5.138 3.801 0.000
```

Output
Space-group type = I4/mmm
Total magnetization = 4.5 μB per formula unit
Polymorph energy (0 for the lowest one) = 493 meV/atom



Record 15
VASP calculation (GGA-PBE) on a geometry-optimized NaCdC2O6 structure.

Structure (extended XYZ):
```
20
Lattice="-5.022 3.538 -1.958 -2.991 -4.832 3.046 2.247 3.611 5.128" Properties=species:S:1:pos:R:3 pbc="T T T"
Na -2.611 -3.180 3.879
Na -3.155 5.496 2.337
Cd -3.643 1.071 1.338
Cd -2.123 1.245 4.878
C -0.630 3.719 3.375
C -4.647 3.022 3.840
C -5.135 -1.403 2.841
C -1.118 -0.706 2.377
O -5.801 1.836 1.170
O -1.960 2.268 0.334
O 0.035 0.480 5.046
O -3.806 0.048 5.882
O -0.592 -0.523 1.236
O -5.915 -0.545 3.360
O -5.174 2.839 4.980
O 0.149 2.862 2.856
O -2.041 0.115 2.802
O -4.484 -1.107 1.748
O -3.725 2.201 3.414
O -1.282 3.424 4.468
```

Output
Space-group type = C2/c
Total magnetization = 1.0 μB per formula unit
Total energy = -6.38 eV/atom



Record 16
VASP calculation (GGA-PBE) on a geometry-optimized ZrTeMo2 structure.

Structure (extended XYZ):
```
4
Lattice="5.583 0.113 0.090 4.395 3.445 0.090 1.648 0.587 4.026" Properties=species:S:1:pos:R:3 pbc="T T T"
Mo 9.946 3.546 0.195
Mo 5.845 2.084 2.088
Te 8.719 3.109 3.154
Zr 2.906 1.036 1.051
```

Output
Space-group type = Immm
Total magnetization = 0.0 μB per formula unit
Total energy = -8.22 eV/atom



Record 17
VASP calculation (GGA-PBE) on a geometry-optimized LiTmThW structure.

Structure (extended XYZ):
```
4
Lattice="-0.556 -3.747 -3.272 -1.039 -4.616 1.634 -4.529 -1.976 -0.796" Properties=species:S:1:pos:R:3 pbc="T T T"
Tm 0.000 0.000 0.000
W -1.531 -2.585 -0.609
Th -3.062 -5.169 -1.217
Li -4.593 -7.754 -1.826
```

Output
Space-group type = F-43m
Total magnetization = 0.0 μB per formula unit
Energy of formation = 0.21 eV/atom



Record 18
VASP calculation (GGA-PBE) on a geometry-optimized RbLiNpS4 structure.

Structure (extended XYZ):
```
14
Lattice="-2.847 6.070 -1.456 -4.172 -2.478 -2.175 -3.052 -2.461 8.657" Properties=species:S:1:pos:R:3 pbc="T T T"
Rb -8.195 0.358 5.559
Rb -1.876 0.773 -0.533
Li -4.805 -1.139 0.764
Li -5.266 2.271 4.262
Np -6.542 1.478 1.114
Np -3.529 -0.346 3.913
S -4.350 -2.867 4.768
S -3.854 5.107 1.232
S -5.721 3.998 0.258
S -6.217 -3.976 3.795
S -5.054 0.597 -0.736
S -5.017 0.535 5.762
S -6.076 -0.687 2.685
S -3.995 1.818 2.341
```

Output
Space-group type = P2_1/m
Total magnetization = 2.2 μB per formula unit
Total energy = -5.68 eV/atom



Record 19
VASP calculation (GGA-PBE) on a geometry-optimized GaCo2Cl structure.

Structure (extended XYZ):
```
8
Lattice="-2.056 3.424 1.069 0.330 -1.047 3.986 5.367 4.795 2.960" Properties=species:S:1:pos:R:3 pbc="T T T"
Co 0.236 2.977 1.835
Co 1.153 1.203 3.437
Co 3.400 4.417 4.384
Co 2.493 5.746 6.375
Ga 0.000 0.000 0.000
Ga 1.224 4.703 3.278
Cl -0.863 1.188 2.528
Cl 2.417 2.468 4.737
```

Output
Space-group type = I-42d
Total magnetization = 2.0 μB per formula unit
Polymorph energy (0 for the lowest one) = 0 meV/atom



Record 20
VASP calculation (GGA-PBE) on a geometry-optimized Re2Os structure.

Structure (extended XYZ):
```
6
Lattice="-2.895 0.868 -1.184 -1.420 -0.987 2.747 0.991 7.844 3.330" Properties=species:S:1:pos:R:3 pbc="T T T"
Re -1.208 2.328 0.212
Re -0.299 2.761 2.755
Re -0.868 5.023 1.356
Re 0.042 5.456 3.899
Os -0.540 7.621 2.460
Os -0.627 0.163 1.652
```

Output
Space-group type = P4/nmm
Total magnetization = 0.2 μB per formula unit
Polymorph energy (0 for the lowest one) = 532 meV/atom
Energy of formation = 0.46 eV/atom



Record 21
VASP calculation (GGA-PBE) on a geometry-optimized Pm4NiRu structure.

Structure (extended XYZ):
```
12
Lattice="6.170 0.000 -3.147 -1.605 5.957 -3.147 0.264 0.345 8.139" Properties=species:S:1:pos:R:3 pbc="T T T"
Pm 1.289 5.709 -2.284
Pm 4.585 4.927 -3.444
Pm 1.282 2.731 -0.297
Pm 3.547 3.571 2.141
Pm 0.243 1.375 5.288
Pm 3.539 0.593 4.128
Pm 0.251 4.354 3.301
Pm 4.577 1.948 -1.457
Ni 2.282 2.979 -3.147
Ni 0.000 0.000 0.000
Ru 1.273 1.662 2.496
Ru 3.555 4.640 -0.651
```

Output
Space-group type = I4/mcm
Total magnetization = 0.0 μB per formula unit
Polymorph energy (0 for the lowest one) = 2 meV/atom
Energy of formation = -0.14 eV/atom



Record 22
VASP calculation (GGA-PBE) on a geometry-optimized Ho2CdIn structure.

Structure (extended XYZ):
```
4
Lattice="-0.375 3.603 -0.455 -0.170 1.407 -3.365 -9.848 0.673 -1.202" Properties=species:S:1:pos:R:3 pbc="T T T"
Cd 0.000 0.000 0.000
Ho -2.612 1.419 -1.255
Ho -7.781 4.264 -3.767
In -5.196 2.841 -2.511
```

Output
Space-group type = R-3m
Total magnetization = 0.0 μB per formula unit
Polymorph energy (0 for the lowest one) = 160 meV/atom
Energy of formation = -0.24 eV/atom



Record 23
VASP calculation (GGA-PBE) on a geometry-optimized SiPb structure.

Structure (extended XYZ):
```
12
Lattice="-5.894 3.643 8.146 9.809 -3.859 1.804 1.431 3.408 -0.489" Properties=species:S:1:pos:R:3 pbc="T T T"
Si -2.386 2.685 4.629
Si 3.671 2.205 4.791
Si -0.195 2.311 8.429
Si 7.732 0.506 4.832
Si 1.675 0.986 4.670
Si 5.541 0.881 1.031
Pb -2.758 3.238 7.392
Pb 5.734 1.605 6.649
Pb 2.240 1.159 7.526
Pb 8.103 -0.046 2.069
Pb -0.389 1.586 2.811
Pb 3.105 2.033 1.935
```

Output
Space-group type = P6_3/m
Total magnetization = 0.0 μB per formula unit
Total energy = -4.16 eV/atom



In order of appearance, DOS(E_F) = 1.15, 0.85, 0.88, 1.24, 1.31, 0.94, 0.95, 0.65, 0.66, 1.54, 0.77, 0.68, 0.78, 0.47, 0.31, 0.76, 0.44, 1.15, 0.54, 1.25, 1.15, 0.80, 0.48 states/eV per atom.